No. 1
{"formula": "LaNbAlIr2", "functional": "PBE", "state": "optimized geometry", "sg": "I-4m2", "dft_energy_ev_per_atom": -8.024, "e_form_ev_per_atom": -0.732, "cell": [[4.230, 0.000, 0.000], [0.000, 4.230, 0.000], [-2.115, -2.115, 5.644]], "species": ["Ir", "Al", "Ir", "La", "Nb"], "fractional_positions": [[0.385, 0.385, 0.770], [0.750, 0.250, 0.500], [0.615, 0.615, 0.230], [0.000, 0.000, 0.000], [0.250, 0.750, 0.500]]}

No. 2
{"formula": "VTcIr", "functional": "PBE", "state": "optimized geometry", "sg": "I4mm", "dft_energy_ev_per_atom": -9.667, "e_form_ev_per_atom": -0.218, "de_polymorph_mev_per_atom": 70.1, "cell": [[2.687, 0.000, 0.000], [0.000, 2.687, 0.000], [-1.344, -1.344, 5.935]], "species": ["Ir", "V", "Tc"], "fractional_positions": [[0.665, 0.665, 0.331], [0.005, 0.005, 0.009], [0.330, 0.330, 0.660]]}

No. 3
{"formula": "CdTcSCl2", "functional": "PBE", "state": "optimized geometry", "sg": "P4/mmm", "dft_energy_ev_per_atom": -3.936, "de_polymorph_mev_per_atom": 0.0, "raw_formation_energy_ev_per_fu": -0.6, "cell": [[4.958, 0.000, 0.000], [0.000, 4.958, 0.000], [0.000, 0.000, 4.528]], "species": ["S", "Tc", "Cl", "Cl", "Cd"], "fractional_positions": [[0.000, 0.000, 0.500], [0.000, 0.000, 0.000], [0.500, 0.000, 0.000], [0.000, 0.500, 0.000], [0.500, 0.500, 0.500]]}